1.
A plane-wave DFT calculation with GGA-PBE was carried out for a relaxed Pm4IrSI2 crystal.

Structure (POSCAR):
```
Pm4IrSI2
1.0
4.115 0.000 0.000
0.000 7.470 0.175
0.000 -2.585 7.757
Pm Ir S I
4 1 1 2
Direct
0.500 0.231 0.187
0.500 0.769 0.813
0.000 0.288 0.812
0.000 0.712 0.188
0.500 0.500 0.000
0.000 0.000 0.000
0.500 0.000 0.500
0.000 0.500 0.500
```

Computed properties:
Calculated density   7.3 g/cm³
Formation energy (no corrections)   -1.195 eV per atom
DFT total energy   -5.581 eV per atom
Density of states at the Fermi level   0.56 states/eV/atom

2.
A plane-wave DFT calculation with GGA-PBE was carried out for a relaxed CdReAg crystal.

Structure (POSCAR):
```
CdReAg
1.0
7.057 0.005 0.000
5.974 3.757 0.000
-6.515 -1.881 1.952
Re Ag Cd
1 1 1
Direct
0.665 0.665 0.000
0.004 0.004 0.000
0.331 0.331 0.000
```

Computed properties:
Calculated density   13.1 g/cm³
Energy relative to the elements   0.5351 eV per atom
DFT total energy   -4.870 eV per atom
E above lowest polymorph   64.4 meV/atom
Density of states at the Fermi level   0.38 states/eV/atom

3.
A plane-wave DFT calculation with GGA-PBE was carried out for a relaxed Ce2TmPN5 crystal.

Structure (POSCAR):
```
Ce2TmPN5
1.0
-1.896 -1.227 5.135
2.945 -5.757 -0.288
5.333 2.598 2.589
Ce Tm P N
4 2 2 10
Direct
0.500 0.677 0.177
0.500 0.177 0.323
0.500 0.823 0.677
0.500 0.323 0.823
0.000 0.500 0.500
0.000 0.000 0.000
0.000 0.000 0.500
0.000 0.500 0.000
0.500 0.500 0.500
0.500 0.000 0.000
0.215 0.136 0.636
0.215 0.864 0.364
0.215 0.364 0.136
0.215 0.636 0.864
0.785 0.136 0.636
0.785 0.636 0.864
0.785 0.864 0.364
0.785 0.364 0.136
```

Computed properties:
Calculated density   7.8 g/cm³
Formation energy (no corrections)   -0.929 eV per atom
DFT total energy   -7.971 eV per atom
Density of states at the Fermi level   0.55 states/eV/atom

4.
A plane-wave DFT calculation with GGA-PBE was carried out for a relaxed MnInTc crystal.

Structure (POSCAR):
```
MnInTc
1.0
4.440 0.000 0.000
-2.220 3.846 0.000
0.000 0.000 2.829
In Mn Tc
1 1 1
Direct
0.000 0.000 0.026
0.667 0.333 0.392
0.333 0.667 0.581
```

Computed properties:
Calculated density   9.2 g/cm³
Energy relative to the elements   0.3321 eV per atom
DFT total energy   -7.093 eV per atom
E above lowest polymorph   161.1 meV/atom
Density of states at the Fermi level   1.14 states/eV/atom

5.
A plane-wave DFT calculation with GGA-PBE was carried out for a relaxed RbTl3Co crystal.

Structure (POSCAR):
```
RbTl3Co
1.0
5.252 0.000 0.000
0.000 5.252 0.000
0.000 0.000 5.252
Tl Co Rb
3 1 1
Direct
0.000 0.500 0.000
0.000 0.000 0.500
0.500 0.000 0.000
0.000 0.000 0.000
0.500 0.500 0.500
```

Computed properties:
Calculated density   8.7 g/cm³
Energy relative to the elements   0.0977 eV per atom
DFT total energy   -2.937 eV per atom
E above lowest polymorph   0.0 meV/atom
Density of states at the Fermi level   0.53 states/eV/atom

6.
A plane-wave DFT calculation with GGA-PBE was carried out for a relaxed ScMnTc4 crystal.

Structure (POSCAR):
```
ScMnTc4
1.0
0.000 3.662 3.662
3.662 0.000 3.662
3.662 3.662 0.000
Sc Mn Tc
1 1 4
Direct
0.000 0.000 0.000
0.750 0.750 0.750
0.874 0.375 0.375
0.375 0.375 0.874
0.375 0.874 0.375
0.375 0.375 0.375
```

Computed properties:
Calculated density   8.3 g/cm³
Energy relative to the elements   0.0599 eV per atom
DFT total energy   -9.434 eV per atom
Density of states at the Fermi level   1.08 states/eV/atom

7.
A plane-wave DFT calculation with GGA-PBE was carried out for a relaxed B2C3 crystal.

Structure (POSCAR):
```
B2C3
1.0
-2.015 -2.211 -3.500
0.826 -1.157 4.380
-3.139 3.298 0.690
B C
4 6
Direct
0.805 0.402 0.200
0.598 0.799 0.403
0.396 0.195 0.597
0.201 0.604 0.800
0.750 0.250 0.500
0.569 0.667 0.717
0.333 0.050 0.901
0.149 0.431 0.099
0.000 0.000 0.000
0.950 0.851 0.283
```

Computed properties:
Calculated density   2.9 g/cm³
Energy relative to the elements   0.4204 eV per atom
DFT total energy   -7.785 eV per atom
E above lowest polymorph   184.3 meV/atom
Density of states at the Fermi level   0.33 states/eV/atom

8.
A plane-wave DFT calculation with GGA-PBE was carried out for a relaxed V2GeICl crystal.

Structure (POSCAR):
```
V2GeICl
1.0
5.069 0.000 0.000
0.000 5.476 0.000
0.000 0.000 5.069
I Ge Cl V
1 1 1 2
Direct
0.000 0.500 0.000
0.000 0.000 0.000
0.500 0.500 0.500
0.000 0.000 0.500
0.500 0.000 0.000
```

Computed properties:
Calculated density   4.0 g/cm³
Formation energy (no corrections)   0.798 eV per atom
DFT total energy   -4.452 eV per atom
Density of states at the Fermi level   1.07 states/eV/atom

9.
A plane-wave DFT calculation with GGA-PBE was carried out for a relaxed Zn3Pt5 crystal.

Structure (POSCAR):
```
Zn3Pt5
1.0
7.313 0.000 0.000
-3.657 6.333 0.000
0.000 0.000 5.310
Zn Pt
6 10
Direct
0.000 0.408 0.750
0.000 0.592 0.250
0.408 0.000 0.750
0.408 0.408 0.250
0.592 0.000 0.250
0.592 0.592 0.750
0.000 0.224 0.250
0.000 0.776 0.750
0.224 0.000 0.250
0.224 0.224 0.750
0.333 0.667 0.000
0.333 0.667 0.500
0.667 0.333 0.000
0.667 0.333 0.500
0.776 0.000 0.750
0.776 0.776 0.250
```

Computed properties:
Calculated density   15.8 g/cm³
Energy relative to the elements   -0.2678 eV per atom
DFT total energy   -4.521 eV per atom
Density of states at the Fermi level   0.57 states/eV/atom

10.
A plane-wave DFT calculation with GGA-PBE was carried out for a relaxed HoZrPt2 crystal.

Structure (POSCAR):
```
HoZrPt2
1.0
3.406 0.000 0.000
0.000 3.406 0.000
0.000 0.000 6.955
Zr Ho Pt
1 1 2
Direct
0.500 0.500 0.000
0.500 0.500 0.500
0.000 0.000 0.776
0.000 0.000 0.224
```

Computed properties:
Calculated density   13.3 g/cm³
Energy relative to the elements   -1.0711 eV per atom
DFT total energy   -7.373 eV per atom
Density of states at the Fermi level   0.91 states/eV/atom

11.
A plane-wave DFT calculation with GGA-PBE was carried out for a relaxed Cs2BiBF6 crystal.

Structure (POSCAR):
```
Cs2BiBF6
1.0
-6.043 -1.890 -1.692
1.073 -5.865 2.720
-4.114 -2.296 4.568
Cs B Bi F
2 1 1 6
Direct
0.750 0.250 0.500
0.250 0.750 0.500
0.500 0.500 0.000
0.000 0.000 0.000
0.246 0.246 0.508
0.754 0.754 0.492
0.247 0.247 0.000
0.753 0.753 0.000
0.753 0.247 0.000
0.247 0.753 0.000
```

Computed properties:
Calculated density   5.0 g/cm³
Formation energy (no corrections)   -1.942 eV per atom
DFT total energy   -4.291 eV per atom
Density of states at the Fermi level   0.00 states/eV/atom

12.
A plane-wave DFT calculation with GGA-PBE was carried out for a relaxed CaYTh2As4 crystal.

Structure (POSCAR):
```
CaYTh2As4
1.0
4.241 0.000 0.000
0.000 7.352 0.134
0.000 -2.564 6.787
Ca Y Th As
1 1 2 4
Direct
0.500 0.500 0.000
0.000 0.000 0.000
0.500 0.000 0.500
0.000 0.500 0.500
0.500 0.246 0.246
0.500 0.754 0.754
0.000 0.247 0.749
0.000 0.753 0.251
```

Computed properties:
Calculated density   7.0 g/cm³
Energy relative to the elements   -1.4228 eV per atom
DFT total energy   -6.661 eV per atom
Density of states at the Fermi level   0.22 states/eV/atom

| no. | volume (Å³ per cell) |
| --- | --- |
| 1 | 240.3 |
| 2 | 51.7 |
| 3 | 235.0 |
| 4 | 48.3 |
| 5 | 144.8 |
| 6 | 98.2 |
| 7 | 65.5 |
| 8 | 140.7 |
| 9 | 246.0 |
| 10 | 80.7 |
| 11 | 199.5 |
| 12 | 213.0 |